[1]
# Y5Ir2Se2

A geometry-optimized Y5Ir2Se2 structure (GGA-PBE, the Alexandria database).

Computed properties:
- total moment (μB/cell) = 0.00
- crystal system = orthorhombic
- total energy (eV per atom) = -7.52

Cell lengths 8.4239, 8.4239, 7.6225 Å; angles 90.00, 90.00, 54.02 degrees
Sites, in units of the cell vectors:
Y  0.0000  0.0000  0.0000
Y  0.0365  0.7126  0.6575
Y  0.2126  0.5365  0.1575
Y  0.2874  0.9635  0.6575
Y  0.4635  0.7874  0.1575
Y  0.5000  0.5000  0.5000
Y  0.5365  0.2126  0.8425
Y  0.7126  0.0365  0.3425
Y  0.7874  0.4635  0.8425
Y  0.9635  0.2874  0.3425
Ir  0.1388  0.8612  0.3628
Ir  0.3612  0.6388  0.8628
Ir  0.6388  0.3612  0.1372
Ir  0.8612  0.1388  0.6372
Se  0.2075  0.2075  0.0000
Se  0.2925  0.2925  0.5000
Se  0.7075  0.7075  0.5000
Se  0.7925  0.7925  0.0000

=====

[2]
# Li3Ag4Sb

A geometry-optimized Li3Ag4Sb structure (GGA-PBE, the Alexandria database).

Computed properties:
- total moment (μB/cell) = 0.00
- crystal system = monoclinic
- total energy (eV per atom) = -2.77
- polymorph energy (0 for the lowest one) (eV/atom) = 0.132

Cell lengths 19.6691, 2.9241, 5.5499 Å; angles 90.00, 106.29, 90.00 degrees
Sites, in units of the cell vectors:
Li  0.0000  0.0000  0.0000
Li  0.2390  0.0000  0.2393
Li  0.2610  0.5000  0.7607
Li  0.5000  0.5000  0.0000
Li  0.7390  0.5000  0.2393
Li  0.7610  0.0000  0.7607
Ag  0.1348  0.5000  0.3821
Ag  0.1346  0.5000  0.8881
Ag  0.3654  0.0000  0.1119
Ag  0.3652  0.0000  0.6179
Ag  0.6348  0.0000  0.3821
Ag  0.6346  0.0000  0.8881
Ag  0.8654  0.5000  0.1119
Ag  0.8652  0.5000  0.6179
Sb  0.0000  0.5000  0.5000
Sb  0.5000  0.0000  0.5000

=====

[3]
# AlMo2Cl

A geometry-optimized AlMo2Cl structure (GGA-PBE, the Alexandria database).

Computed properties:
- total moment (μB/cell) = 0.00
- crystal system = monoclinic
- total energy (eV per atom) = -6.40
- polymorph energy (0 for the lowest one) (eV/atom) = 0.375

Cell lengths 2.8356, 4.3211, 5.3643 Å; angles 90.00, 91.42, 90.00 degrees
Sites, in units of the cell vectors:
Al  0.0000  0.0000  0.0000
Mo  0.4765  0.5000  0.2313
Mo  0.5235  0.5000  0.7687
Cl  0.5000  0.0000  0.5000

=====

[4]
# Tl4I2ClF

A geometry-optimized Tl4I2ClF structure (GGA-PBE, the Alexandria database).

Computed properties:
- total moment (μB/cell) = 0.00
- crystal system = monoclinic
- total energy (eV per atom) = -3.01

Cell lengths 9.3538, 9.3538, 9.2371 Å; angles 119.57, 119.57, 89.83 degrees
Sites, in units of the cell vectors:
Tl  0.1856  0.2796  0.4825
Tl  0.2399  0.7586  0.5220
Tl  0.2414  0.7601  0.9780
Tl  0.2796  0.1856  0.9825
Tl  0.7204  0.8144  0.0175
Tl  0.7586  0.2399  0.0220
Tl  0.7601  0.2414  0.4780
Tl  0.8144  0.7204  0.5175
I  0.0000  0.5000  0.0000
I  0.5000  0.0000  0.5000
I  0.5000  0.5000  0.0000
I  0.5000  0.5000  0.5000
Cl  0.0000  0.0000  0.0000
Cl  0.0000  0.0000  0.5000
F  0.0000  0.5000  0.5000
F  0.5000  0.0000  0.0000